Entry a
## Sr2CrPd (PBE-GGA)

Data for a relaxed Sr2CrPd crystal.

Properties
Magnetic moment (μB per formula unit): 5.051

Cell lengths 7.7241, 7.7241, 7.7241 Å; angles 90.00, 90.00, 90.00 degrees
Space group Fm-3m (No. 225)
Asymmetric unit:
Sr: 0.2500 0.2500 0.2500 [8 per cell]
Cr: 0.0000 0.0000 0.0000 [4 per cell]
Pd: 0.0000 0.0000 0.5000 [4 per cell]

Entry b
## Sr2CrPd (PBE-GGA)

Data for a relaxed Sr2CrPd crystal.

Properties
Magnetic moment (μB per formula unit): 4.903

Cell lengths 8.5961, 8.5961, 6.7208 Å; angles 90.00, 90.00, 90.00 degrees
Space group I-42d (No. 122)
Asymmetric unit:
Sr: 0.2094 0.2500 0.1250 [8 per cell]
Cr: 0.0000 0.0000 0.5000 [4 per cell]
Pd: 0.0000 0.0000 0.0000 [4 per cell]

Which is most stable, and by how much? entry a, by 197 meV/atom.

Entry a
## Sr2Cr2Pd (PBE-GGA)

Data for a relaxed Sr2Cr2Pd crystal.

Properties
Magnetic moment (μB per formula unit): 0.000

Cell lengths 6.9456, 6.9456, 5.0280 Å; angles 90.00, 90.00, 90.00 degrees
Space group P4/mbm (No. 127)
Asymmetric unit:
Sr: 0.1920 0.3080 0.0000 [4 per cell]
Cr: 0.0923 0.5923 0.5000 [4 per cell]
Pd: 0.0000 0.0000 0.5000 [2 per cell]

Entry b
## Sr2Cr2Pd (PBE-GGA)

Data for a relaxed Sr2Cr2Pd crystal.

Properties
Magnetic moment (μB per formula unit): 0.000

Cell lengths 6.2277, 6.2277, 6.9561 Å; angles 90.00, 90.00, 90.00 degrees
Space group I4/mmm (No. 139)
Asymmetric unit:
Sr: 0.0000 0.5000 0.2500 [4 per cell]
Cr: 0.0000 0.0000 0.1259 [4 per cell]
Pd: 0.0000 0.0000 0.5000 [2 per cell]

Which is most stable, and by how much? entry a, by 171 meV/atom.

Entry a
## TaCrPd6 (PBE-GGA)

Data for a relaxed TaCrPd6 crystal.

Properties
Magnetic moment (μB per formula unit): 3.337

Cell lengths 5.0265, 5.0279, 5.0404 Å; angles 93.31, 93.23, 93.16 degrees
Space group P-1 (No. 2)
Asymmetric unit:
Ta: 0.0000 0.0000 0.0000 [1 per cell]
Cr: 0.5000 0.5000 0.5000 [1 per cell]
Pd: 0.0280 0.7489 0.4689 [2 per cell]
Pd: 0.2510 0.5300 0.9708 [2 per cell]
Pd: 0.4709 0.0267 0.7490 [2 per cell]

Entry b
## TaCrPd6 (PBE-GGA)

Data for a relaxed TaCrPd6 crystal.

Properties
Magnetic moment (μB per formula unit): 3.553

Cell lengths 3.9510, 3.9510, 7.8821 Å; angles 90.00, 90.00, 90.00 degrees
Space group P4/mmm (No. 123)
Asymmetric unit:
Ta: 0.0000 0.0000 0.0000 [1 per cell]
Cr: 0.0000 0.0000 0.5000 [1 per cell]
Pd: 0.0000 0.5000 0.2452 [4 per cell]
Pd: 0.5000 0.5000 0.0000 [1 per cell]
Pd: 0.5000 0.5000 0.5000 [1 per cell]

Which is most stable, and by how much? entry b, by 163 meV/atom.

Entry a
## TaCrPd2 (PBE-GGA)

Data for a relaxed TaCrPd2 crystal.

Properties
Magnetic moment (μB per formula unit): 3.892

Cell lengths 6.3561, 6.3561, 6.3561 Å; angles 90.00, 90.00, 90.00 degrees
Space group Fm-3m (No. 225)
Asymmetric unit:
Ta: 0.0000 0.0000 0.0000 [4 per cell]
Cr: 0.0000 0.0000 0.5000 [4 per cell]
Pd: 0.2500 0.2500 0.2500 [8 per cell]

Entry b
## TaCrPd2 (PBE-GGA)

Data for a relaxed TaCrPd2 crystal.

Properties
Magnetic moment (μB per formula unit): 0.000

Cell lengths 7.0252, 7.0252, 5.2479 Å; angles 90.00, 90.00, 90.00 degrees
Space group I-42d (No. 122)
Asymmetric unit:
Ta: 0.0000 0.0000 0.0000 [4 per cell]
Cr: 0.0000 0.0000 0.5000 [4 per cell]
Pd: 0.2317 0.2500 0.6250 [8 per cell]

Which is most stable, and by how much? entry a, by 416 meV/atom.

Entry a
## TaCr2Pd (PBE-GGA)

Data for a relaxed TaCr2Pd crystal.

Properties
Magnetic moment (μB per formula unit): 3.074

Cell lengths 6.1493, 6.1493, 6.1493 Å; angles 90.00, 90.00, 90.00 degrees
Space group Fm-3m (No. 225)
Asymmetric unit:
Ta: 0.0000 0.0000 0.0000 [4 per cell]
Cr: 0.2500 0.2500 0.2500 [8 per cell]
Pd: 0.0000 0.0000 0.5000 [4 per cell]

Entry b
## TaCr2Pd (PBE-GGA)

Data for a relaxed TaCr2Pd crystal.

Properties
Magnetic moment (μB per formula unit): 0.000

Cell lengths 6.9369, 6.9369, 5.1425 Å; angles 90.00, 90.00, 90.00 degrees
Space group I-42d (No. 122)
Asymmetric unit:
Ta: 0.0000 0.0000 0.0000 [4 per cell]
Cr: 0.2434 0.7500 0.6250 [8 per cell]
Pd: 0.0000 0.0000 0.5000 [4 per cell]

Which is most stable, and by how much? entry a, by 530 meV/atom.

Entry a
## CrTcPd2 (PBE-GGA)

Data for a relaxed CrTcPd2 crystal.

Properties
Magnetic moment (μB per formula unit): 0.864

Cell lengths 7.0130, 7.0130, 5.0596 Å; angles 90.00, 90.00, 90.00 degrees
Space group I-42d (No. 122)
Asymmetric unit:
Cr: 0.0000 0.0000 0.0000 [4 per cell]
Tc: 0.0000 0.0000 0.5000 [4 per cell]
Pd: 0.2184 0.2500 0.1250 [8 per cell]

Entry b
## CrTcPd2 (PBE-GGA)

Data for a relaxed CrTcPd2 crystal.

Properties
Magnetic moment (μB per formula unit): 1.033

Cell lengths 6.1664, 6.1664, 6.1664 Å; angles 90.00, 90.00, 90.00 degrees
Space group Fm-3m (No. 225)
Asymmetric unit:
Cr: 0.0000 0.0000 0.0000 [4 per cell]
Tc: 0.0000 0.0000 0.5000 [4 per cell]
Pd: 0.2500 0.2500 0.2500 [8 per cell]

Which is most stable, and by how much? entry b, by 166 meV/atom.

Entry a
## CrTc2Pd (PBE-GGA)

Data for a relaxed CrTc2Pd crystal.

Properties
Magnetic moment (μB per formula unit): 0.000

Cell lengths 6.1019, 6.1019, 6.1019 Å; angles 90.00, 90.00, 90.00 degrees
Space group Fm-3m (No. 225)
Asymmetric unit:
Cr: 0.0000 0.0000 0.0000 [4 per cell]
Tc: 0.2500 0.2500 0.2500 [8 per cell]
Pd: 0.0000 0.0000 0.5000 [4 per cell]

Entry b
## CrTc2Pd (PBE-GGA)

Data for a relaxed CrTc2Pd crystal.

Properties
Magnetic moment (μB per formula unit): 2.644

Cell lengths 3.6840, 3.6840, 18.5490 Å; angles 90.00, 90.00, 90.00 degrees
Space group I-42d (No. 122)
Asymmetric unit:
Cr: 0.0000 0.0000 0.0000 [4 per cell]
Tc: 0.2219 0.2500 0.1250 [8 per cell]
Pd: 0.0000 0.0000 0.5000 [4 per cell]

Which is most stable, and by how much? entry a, by 216 meV/atom.

Entry a
## CrTe4Pd (PBE-GGA)

Data for a relaxed CrTe4Pd crystal.

Properties
Magnetic moment (μB per formula unit): 2.742

Cell lengths 13.0668, 4.0059, 6.9401 Å; angles 90.00, 120.99, 90.00 degrees
Space group C2/m (No. 12)
Asymmetric unit:
Cr: 0.0000 0.0000 0.0000 [2 per cell]
Te: 0.1263 0.5000 0.9574 [4 per cell]
Te: 0.1291 0.0000 0.4535 [4 per cell]
Pd: 0.0000 0.5000 0.5000 [2 per cell]

Entry b
## CrTe4Pd (PBE-GGA)

Data for a relaxed CrTe4Pd crystal.

Properties
Magnetic moment (μB per formula unit): 2.652

Cell lengths 5.6547, 4.0257, 6.8671 Å; angles 90.00, 90.20, 90.00 degrees
Space group P2/m (No. 10)
Asymmetric unit:
Cr: 0.0000 0.0000 0.0000 [1 per cell]
Te: 0.2469 0.0000 0.3344 [2 per cell]
Te: 0.2624 0.5000 0.8439 [2 per cell]
Pd: 0.0000 0.5000 0.5000 [1 per cell]

Which is most stable, and by how much? entry b, by 7 meV/atom.

Entry a
## CrTePd (PBE-GGA)

Data for a relaxed CrTePd crystal.

Properties
Magnetic moment (μB per formula unit): 4.015

Cell lengths 6.3106, 6.3106, 6.3106 Å; angles 90.00, 90.00, 90.00 degrees
Space group F-43m (No. 216)
Asymmetric unit:
Cr: 0.0000 0.0000 0.0000 [4 per cell]
Te: 0.0000 0.0000 0.5000 [4 per cell]
Pd: 0.2500 0.2500 0.2500 [4 per cell]

Entry b
## CrTePd (PBE-GGA)

Data for a relaxed CrTePd crystal.

Properties
Magnetic moment (μB per formula unit): 1.906

Cell lengths 11.7002, 3.3548, 5.8142 Å; angles 90.00, 90.00, 90.00 degrees
Space group Amm2 (No. 38)
Asymmetric unit:
Cr: 0.0000 0.0000 0.0000 [2 per cell]
Cr: 0.5000 0.0000 0.0045 [2 per cell]
Te: 0.1509 0.0000 0.3332 [4 per cell]
Pd: 0.3483 0.0000 0.6716 [4 per cell]

Which is most stable, and by how much? entry a, by 287 meV/atom.

Entry a
## TiCr2Pd (PBE-GGA)

Data for a relaxed TiCr2Pd crystal.

Properties
Magnetic moment (μB per formula unit): 0.000

Cell lengths 3.5387, 3.5387, 18.8784 Å; angles 90.00, 90.00, 90.00 degrees
Space group I-42d (No. 122)
Asymmetric unit:
Ti: 0.0000 0.0000 0.0000 [4 per cell]
Cr: 0.2086 0.2500 0.1250 [8 per cell]
Pd: 0.0000 0.0000 0.5000 [4 per cell]

Entry b
## TiCr2Pd (PBE-GGA)

Data for a relaxed TiCr2Pd crystal.

Properties
Magnetic moment (μB per formula unit): 2.804

Cell lengths 6.0730, 6.0730, 6.0730 Å; angles 90.00, 90.00, 90.00 degrees
Space group Fm-3m (No. 225)
Asymmetric unit:
Ti: 0.0000 0.0000 0.0000 [4 per cell]
Cr: 0.2500 0.2500 0.2500 [8 per cell]
Pd: 0.0000 0.0000 0.5000 [4 per cell]

Which is most stable, and by how much? entry b, by 199 meV/atom.

Entry a
## TlCrPd2 (PBE-GGA)

Data for a relaxed TlCrPd2 crystal.

Properties
Magnetic moment (μB per formula unit): 3.929

Cell lengths 7.2961, 7.2961, 5.6514 Å; angles 90.00, 90.00, 90.00 degrees
Space group I-42d (No. 122)
Asymmetric unit:
Tl: 0.0000 0.0000 0.0000 [4 per cell]
Cr: 0.0000 0.0000 0.5000 [4 per cell]
Pd: 0.2277 0.2500 0.6250 [8 per cell]

Entry b
## TlCrPd2 (PBE-GGA)

Data for a relaxed TlCrPd2 crystal.

Properties
Magnetic moment (μB per formula unit): 3.434

Cell lengths 3.2650, 3.2650, 6.4746 Å; angles 90.00, 90.00, 90.00 degrees
Space group P4/mmm (No. 123)
Asymmetric unit:
Tl: 0.0000 0.0000 0.0000 [1 per cell]
Cr: 0.0000 0.0000 0.5000 [1 per cell]
Pd: 0.5000 0.5000 0.2802 [2 per cell]

Entry c
## TlCrPd2 (PBE-GGA)

Data for a relaxed TlCrPd2 crystal.

Properties
Magnetic moment (μB per formula unit): 0.451

Cell lengths 6.4171, 6.4171, 6.4171 Å; angles 90.00, 90.00, 90.00 degrees
Space group Fm-3m (No. 225)
Asymmetric unit:
Tl: 0.0000 0.0000 0.0000 [4 per cell]
Cr: 0.0000 0.0000 0.5000 [4 per cell]
Pd: 0.2500 0.2500 0.2500 [8 per cell]

Which is most stable, and by how much? entry b, by 244 meV/atom.

Entry a
## Tl2CrPd (PBE-GGA)

Data for a relaxed Tl2CrPd crystal.

Properties
Magnetic moment (μB per formula unit): 4.269

Cell lengths 4.3112, 4.3112, 19.6274 Å; angles 90.00, 90.00, 90.00 degrees
Space group I-42d (No. 122)
Asymmetric unit:
Tl: 0.2450 0.2500 0.1250 [8 per cell]
Cr: 0.0000 0.0000 0.5000 [4 per cell]
Pd: 0.0000 0.0000 0.0000 [4 per cell]

Entry b
## Tl2CrPd (PBE-GGA)

Data for a relaxed Tl2CrPd crystal.

Properties
Magnetic moment (μB per formula unit): 3.977

Cell lengths 6.8249, 6.8249, 6.8249 Å; angles 90.00, 90.00, 90.00 degrees
Space group Fm-3m (No. 225)
Asymmetric unit:
Tl: 0.2500 0.2500 0.2500 [8 per cell]
Cr: 0.0000 0.0000 0.0000 [4 per cell]
Pd: 0.0000 0.0000 0.5000 [4 per cell]

Which is most stable, and by how much? entry b, by 188 meV/atom.